1.
YBe3Ru: relaxed, PBE-GGA.

Geometry as POSCAR:
```
YBe3Ru
1.0
4.2433 0.0000 0.0000
0.0000 4.2433 0.0000
0.0000 0.0000 4.2433
Y Be Ru
1 3 1
direct
0.0000 0.0000 0.0000
0.0000 0.5000 0.5000
0.5000 0.0000 0.5000
0.5000 0.5000 0.0000
0.5000 0.5000 0.5000
```

## Properties
- symmetry = Pm-3m
- offset from the most stable computed form (meV/atom) = 0
- ΔH_f (0 K) (meV/atom) = -108

***

2.
Pa2PC: relaxed, PBE-GGA.

Geometry as POSCAR:
```
Pa2PC
1.0
1.8151 1.0479 6.7237
-1.8151 1.0479 6.7237
0.0000 -2.0959 6.7237
Pa P C
2 1 1
direct
0.0000 0.0000 0.0000
0.1915 0.1915 0.1915
0.7631 0.7631 0.7631
0.5947 0.5947 0.5947
```

## Properties
- symmetry = R3m
- offset from the most stable computed form (meV/atom) = 149
- ΔH_f (0 K) (meV/atom) = -723

***

3.
Sr2AcMg3: relaxed, PBE-GGA.

Geometry as POSCAR:
```
Sr2AcMg3
1.0
4.1598 0.0000 0.0000
0.0000 4.1598 0.0000
0.0000 0.0000 12.4782
Sr Ac Mg
2 1 3
direct
0.0000 0.0000 0.1678
0.0000 0.0000 0.8322
0.0000 0.0000 0.5000
0.5000 0.5000 0.0000
0.5000 0.5000 0.3375
0.5000 0.5000 0.6625
```

## Properties
- symmetry = P4/mmm
- ΔH_f (0 K) (meV/atom) = -65

***

4.
CdIn: relaxed, PBE-GGA.

Geometry as POSCAR:
```
CdIn
1.0
4.6419 0.0000 0.0000
-2.3209 4.0200 0.0000
0.0000 0.0000 5.8435
Cd In
2 2
direct
0.0000 0.0000 0.0000
0.0000 0.0000 0.5000
0.3333 0.6667 0.2500
0.6667 0.3333 0.7500
```

## Properties
- symmetry = P6_3/mmc
- ΔH_f (0 K) (meV/atom) = 84

***

5.
CaYNi2Pb: relaxed, PBE-GGA.

Geometry as POSCAR:
```
CaYNi2Pb
1.0
4.6774 0.0000 0.0000
0.0000 4.6774 0.0000
0.0000 0.0000 5.6975
Ca Y Ni Pb
1 1 2 1
direct
0.0000 0.0000 0.0000
0.0000 0.0000 0.5000
0.0000 0.5000 0.0000
0.5000 0.0000 0.0000
0.5000 0.5000 0.5000
```

## Properties
- symmetry = P4/mmm
- ΔH_f (0 K) (meV/atom) = 974